Version P
This record from Alexandria describes Li4Tl2Pd after structural relaxation. The functional is GGA-PBE.

Calculated values
* V: 262.5 Å³ per cell

a b c (Å): 6.986 6.986 6.986
angles (deg): 109.30 109.81 109.30
Positions (direct):
Pd1 0.750 0.500 0.250
Pd2 0.000 0.000 0.000
Li1 0.462 0.118 0.203
Li2 0.085 0.882 0.344
Li3 0.665 0.760 0.047
Li4 0.797 0.260 0.915
Li5 0.953 0.618 0.712
Li6 0.094 0.382 0.335
Li7 0.288 0.240 0.906
Li8 0.656 0.740 0.538
Tl1 0.375 0.851 0.726
Tl2 0.274 0.649 0.125
Tl3 0.476 0.351 0.625
Tl4 0.875 0.149 0.524

---

Version Q
This record from Alexandria describes Li4Tl2Pd after structural relaxation. The functional is GGA-PBE.

Calculated values
* V: 256.2 Å³ per cell

a b c (Å): 9.126 5.469 5.816
angles (deg): 118.05 90.00 90.00
Positions (direct):
Li1 0.250 0.755 0.000
Li2 0.750 0.245 0.000
Li3 0.250 0.255 0.000
Li4 0.750 0.502 0.500
Li5 0.750 0.745 0.000
Li6 0.250 0.998 0.500
Li7 0.750 0.002 0.500
Li8 0.250 0.498 0.500
Pd1 0.500 0.500 0.000
Pd2 0.000 0.000 0.000
Tl1 0.000 0.653 0.306
Tl2 0.500 0.153 0.306
Tl3 0.000 0.347 0.694
Tl4 0.500 0.847 0.694

---

Most stable structure, least stable structure: version P, version Q.

---

Version P
This record from Alexandria describes Li5TlPd4 after structural relaxation. The functional is GGA-PBE.

Calculated values
* V: 146.3 Å³ per cell

a b c (Å): 3.131 3.131 14.924
angles (deg): 90.00 90.00 90.00
Positions (direct):
Pd1 0.000 0.000 0.404
Pd2 0.000 0.000 0.788
Pd3 0.000 0.000 0.212
Pd4 0.000 0.000 0.596
Li1 0.500 0.500 0.500
Li2 0.500 0.500 0.125
Li3 0.500 0.500 0.689
Li4 0.500 0.500 0.311
Li5 0.500 0.500 0.875
Tl1 0.000 0.000 0.000

---

Version Q
This record from Alexandria describes Li5TlPd4 after structural relaxation. The functional is GGA-PBE.

Calculated values
* V: 150.0 Å³ per cell

a b c (Å): 4.382 5.373 7.003
angles (deg): 105.79 108.23 90.00
Positions (direct):
Li1 0.500 0.500 0.000
Li2 0.707 0.806 0.414
Li3 0.293 0.194 0.586
Li4 0.105 0.367 0.210
Li5 0.895 0.633 0.790
Pd1 0.895 0.133 0.791
Pd2 0.291 0.693 0.583
Pd3 0.709 0.307 0.417
Pd4 0.105 0.867 0.209
Tl1 0.500 0.000 0.000

---

Most stable structure, least stable structure: version Q, version P.

---

Version P
This record from Alexandria describes Li5Tl2Pd after structural relaxation. The functional is GGA-PBE.

Calculated values
* V: 141.6 Å³ per cell

a b c (Å): 4.834 4.834 6.957
angles (deg): 110.33 110.33 90.00
Positions (direct):
Li1 0.384 0.884 0.769
Li2 0.884 0.384 0.769
Li3 0.116 0.616 0.231
Li4 0.500 0.500 0.000
Li5 0.616 0.116 0.231
Pd1 0.000 0.000 0.000
Tl1 0.243 0.243 0.485
Tl2 0.757 0.757 0.515

---

Version Q
This record from Alexandria describes Li5Tl2Pd after structural relaxation. The functional is GGA-PBE.

Calculated values
* V: 330.2 Å³ per cell

a b c (Å): 4.513 4.513 18.717
angles (deg): 90.00 90.00 120.00
Positions (direct):
Li1 0.000 0.000 0.324
Li2 0.333 0.667 0.546
Li3 0.000 0.000 0.176
Li4 0.333 0.667 0.954
Li5 0.667 0.333 0.046
Li6 0.000 0.000 0.824
Li7 0.667 0.333 0.250
Li8 0.667 0.333 0.454
Li9 0.000 0.000 0.676
Li10 0.333 0.667 0.750
Tl1 0.333 0.667 0.394
Tl2 0.667 0.333 0.894
Tl3 0.333 0.667 0.106
Tl4 0.667 0.333 0.606
Pd1 0.667 0.333 0.750
Pd2 0.333 0.667 0.250

---

Most stable structure, least stable structure: version P, version Q.

---

Version P
This record from Alexandria describes Li2TlPd5 after structural relaxation. The functional is GGA-PBE.

Calculated values
* V: 125.0 Å³ per cell

a b c (Å): 5.734 5.734 5.556
angles (deg): 120.95 120.95 90.27
Positions (direct):
Pd1 0.722 0.222 0.944
Pd2 0.722 0.722 0.944
Pd3 0.722 0.722 0.444
Pd4 0.222 0.222 0.944
Pd5 0.222 0.722 0.944
Li1 0.222 0.722 0.444
Li2 0.722 0.222 0.444
Tl1 0.222 0.222 0.444

---

Version Q
This record from Alexandria describes Li2TlPd5 after structural relaxation. The functional is GGA-PBE.

Calculated values
* V: 126.2 Å³ per cell

a b c (Å): 5.473 5.473 5.473
angles (deg): 109.21 109.21 110.00
Positions (direct):
Li1 0.778 0.278 0.500
Li2 0.278 0.778 0.500
Pd1 0.278 0.778 0.000
Pd2 0.778 0.778 0.500
Pd3 0.778 0.278 0.000
Pd4 0.278 0.278 0.500
Pd5 0.278 0.277 0.000
Tl1 0.778 0.778 0.000

---

Most stable structure, least stable structure: version P, version Q.

---

Version P
This record from Alexandria describes Li3Tl2Pd after structural relaxation. The functional is GGA-PBE.

Calculated values
* V: 108.9 Å³ per cell

a b c (Å): 3.325 3.325 9.846
angles (deg): 90.00 90.00 90.00
Positions (direct):
Pd1 0.500 0.500 0.500
Li1 0.000 0.000 0.000
Li2 0.000 0.000 0.370
Li3 0.000 0.000 0.630
Tl1 0.500 0.500 0.197
Tl2 0.500 0.500 0.803

---

Version Q
This record from Alexandria describes Li3Tl2Pd after structural relaxation. The functional is GGA-PBE.

Calculated values
* V: 215.0 Å³ per cell

a b c (Å): 4.643 7.437 6.553
angles (deg): 90.00 90.00 71.81
Positions (direct):
Li1 0.823 0.354 0.214
Li2 0.177 0.646 0.786
Li3 0.177 0.646 0.214
Li4 0.823 0.354 0.786
Li5 0.500 0.000 0.232
Li6 0.500 0.000 0.768
Pd1 0.341 0.319 0.000
Pd2 0.659 0.681 0.000
Tl1 0.664 0.672 0.500
Tl2 0.336 0.328 0.500
Tl3 0.000 0.000 0.500
Tl4 0.000 0.000 0.000

---

Most stable structure, least stable structure: version P, version Q.

---

Version P
This record from Alexandria describes LiTmPd2 after structural relaxation. The functional is GGA-PBE.

Calculated values
* V: 71.1 Å³ per cell

a b c (Å): 4.649 4.649 4.649
angles (deg): 60.00 60.00 60.00
Positions (direct):
Li1 0.000 0.000 0.000
Pd1 0.250 0.250 0.250
Pd2 0.750 0.750 0.750
Tm1 0.500 0.500 0.500

---

Version Q
This record from Alexandria describes LiTmPd2 after structural relaxation. The functional is GGA-PBE.

Calculated values
* V: 68.9 Å³ per cell

a b c (Å): 3.834 4.240 4.240
angles (deg): 90.00 90.00 90.00
Positions (direct):
Pd1 0.000 0.000 0.500
Pd2 0.000 0.500 0.000
Tm1 0.500 0.500 0.500
Li1 0.500 0.000 0.000

---

Version R
This record from Alexandria describes LiTmPd2 after structural relaxation. The functional is GGA-PBE.

Calculated values
* V: 69.6 Å³ per cell

a b c (Å): 3.416 3.416 5.964
angles (deg): 90.00 90.00 90.00
Positions (direct):
Tm1 0.500 0.500 0.500
Pd1 0.000 0.000 0.766
Pd2 0.000 0.000 0.234
Li1 0.500 0.500 0.000

---

Most stable structure, least stable structure: version R, version P.

---

Version P
This record from Alexandria describes LiTmPd5 after structural relaxation. The functional is GGA-PBE.

Calculated values
* V: 246.3 Å³ per cell

a b c (Å): 7.418 7.418 11.509
angles (deg): 39.24 39.24 46.05
Positions (direct):
Tm1 0.766 0.234 0.250
Tm2 0.234 0.766 0.750
Pd1 0.787 0.213 0.750
Pd2 0.279 0.296 0.596
Pd3 0.295 0.278 0.830
Pd4 0.213 0.787 0.250
Pd5 0.705 0.722 0.170
Pd6 0.296 0.279 0.096
Pd7 0.704 0.721 0.904
Pd8 0.278 0.295 0.330
Pd9 0.721 0.704 0.404
Pd10 0.722 0.705 0.670
Li1 0.000 0.000 0.000
Li2 0.000 0.000 0.500

---

Version Q
This record from Alexandria describes LiTmPd5 after structural relaxation. The functional is GGA-PBE.

Calculated values
* V: 116.4 Å³ per cell

a b c (Å): 4.141 4.141 6.789
angles (deg): 90.00 90.00 90.00
Positions (direct):
Pd1 0.500 0.500 0.500
Pd2 0.500 0.000 0.210
Pd3 0.000 0.500 0.790
Pd4 0.000 0.500 0.210
Pd5 0.500 0.000 0.790
Tm1 0.000 0.000 0.500
Li1 0.500 0.500 0.000

---

Most stable structure, least stable structure: version Q, version P.

---

Version P
This record from Alexandria describes Li2TmPd3 after structural relaxation. The functional is GGA-PBE.

Calculated values
* V: 96.9 Å³ per cell

a b c (Å): 4.477 4.477 5.582
angles (deg): 90.00 90.00 120.00
Positions (direct):
Li1 0.667 0.333 0.337
Li2 0.333 0.667 0.663
Pd1 0.667 0.333 0.799
Pd2 0.000 0.000 0.500
Pd3 0.333 0.667 0.201
Tm1 0.000 0.000 0.000

---

Version Q
This record from Alexandria describes Li2TmPd3 after structural relaxation. The functional is GGA-PBE.

Calculated values
* V: 192.4 Å³ per cell

a b c (Å): 4.359 6.887 6.753
angles (deg): 90.00 90.00 71.59
Positions (direct):
Pd1 0.835 0.330 0.731
Pd2 0.165 0.670 0.269
Pd3 0.500 0.000 0.719
Pd4 0.835 0.330 0.269
Pd5 0.165 0.670 0.731
Pd6 0.500 0.000 0.281
Tm1 0.346 0.308 0.000
Tm2 0.654 0.692 0.000
Li1 0.329 0.341 0.500
Li2 0.671 0.659 0.500
Li3 0.000 0.000 0.500
Li4 0.000 0.000 0.000

---

Most stable structure, least stable structure: version Q, version P.